No. 1
! ZrMnI3 GGA-PBE relaxed; values from VASP
! density: 4535 kg/m³
! relative energy among the computed polymorphs: 0.0 meV per atom
! formation energy without anion corrections: 0.702 eV/f.u.
! SG: Pm-3m, No. 221
&SYSTEM
  ibrav = 0, nat = 5, ntyp = 3
/
ATOMIC_SPECIES
I 126.90 I.upf
Mn 54.94 Mn.upf
Zr 91.22 Zr.upf
CELL_PARAMETERS angstrom
5.778 0.000 0.000
0.000 5.778 0.000
0.000 0.000 5.778
ATOMIC_POSITIONS angstrom
I 0.000 2.889 0.000
I 0.000 0.000 2.889
I 2.889 0.000 0.000
Mn 2.889 2.889 2.889
Zr 0.000 0.000 0.000



No. 2
! CsZrI3 GGA-PBE relaxed; values from VASP
! density: 4318 kg/m³
! relative energy among the computed polymorphs: 260.1 meV per atom
! formation energy without anion corrections: -3.886 eV/f.u.
! SG: Amm2, No. 38
&SYSTEM
  ibrav = 0, nat = 5, ntyp = 3
/
ATOMIC_SPECIES
Cs 132.91 Cs.upf
I 126.90 I.upf
Zr 91.22 Zr.upf
CELL_PARAMETERS angstrom
-2.718 1.906 -2.378
1.628 -4.737 -5.659
-5.268 -5.044 1.980
ATOMIC_POSITIONS angstrom
Cs -4.062 -3.977 -2.050
I -1.181 -2.220 -3.936
I -2.414 -5.533 -5.181
I -4.822 -5.024 1.486
Zr 0.184 -4.802 -4.059



No. 3
! CsSrAu GGA-PBE relaxed; values from VASP
! density: 4581 kg/m³
! relative energy among the computed polymorphs: 30.1 meV per atom
! SG: P-6m2, No. 187
! ΔH_f (0 K): -0.29 eV/atom
&SYSTEM
  ibrav = 0, nat = 6, ntyp = 3
/
ATOMIC_SPECIES
Au 196.97 Au.upf
Cs 132.91 Cs.upf
Sr 87.62 Sr.upf
CELL_PARAMETERS angstrom
4.554 0.000 0.000
-2.277 3.944 0.000
0.000 0.000 16.854
ATOMIC_POSITIONS angstrom
Au 0.000 0.000 0.000
Au 0.000 2.629 8.427
Cs 0.000 0.000 6.072
Cs 0.000 0.000 10.782
Sr 0.000 2.629 14.969
Sr 0.000 2.629 1.884



No. 4
! K2MoRh GGA-PBE relaxed; values from VASP
! density: 5313 kg/m³
! relative energy among the computed polymorphs: 551.6 meV per atom
! SG: P4/mmm, No. 123
! ΔH_f (0 K): 1.17 eV/atom
&SYSTEM
  ibrav = 0, nat = 4, ntyp = 3
/
ATOMIC_SPECIES
K 39.10 K.upf
Mo 95.94 Mo.upf
Rh 102.91 Rh.upf
CELL_PARAMETERS angstrom
-3.251 1.879 0.866
-1.686 -3.341 0.919
1.814 0.600 5.508
ATOMIC_POSITIONS angstrom
K 0.000 0.000 0.000
K -2.469 -0.731 0.892
Mo -0.719 1.240 3.187
Rh 0.064 -1.371 3.214



> relative energy among the computed polymorphs of number 1 (ZrMnI3)?

0.0 meV per atom



> The lowest relative energy among the computed polymorphs belongs to which entry?

ZrMnI3



> Among the records above, which one has the lowest density?

CsZrI3



> Look up the density of the first one.

4535 kg/m³